No. 1
# TlRh2Se, optimized geometry, DFT PBE
# total moment: 0.0 μB/cell
# ΔE_f (raw): 0.029 eV per formula unit
# uncorrected energy: -5.131 eV per atom
data_TlRh2Se
_cell_length_a 8.7947
_cell_length_b 3.1701
_cell_length_c 5.5545
_cell_angle_alpha 90.00
_cell_angle_beta 99.31
_cell_angle_gamma 90.00
_space_group_name_H-M_alt 'C 1 m 1'
_space_group_IT_number 8
loop_
_space_group_symop_operation_xyz
'x,y,z'
'x,-y,z'
'x+1/2,y+1/2,z'
'x+1/2,-y+1/2,z'
loop_
_atom_site_label
_atom_site_fract_x
_atom_site_fract_y
_atom_site_fract_z
Tl1 0.0000 0.0000 0.0000
Rh1 0.2460 0.0000 0.7546
Rh2 0.4946 0.0000 0.4726
Se1 0.2749 0.5000 0.4268

---

No. 2
# Tb2Ag2AuO6, optimized geometry, DFT PBE
# total moment: 2.0 μB/cell
# ΔE_f (raw): -16.553 eV per formula unit
# uncorrected energy: -5.868 eV per atom
data_Tb2Ag2AuO6
_cell_length_a 5.8826
_cell_length_b 10.5646
_cell_length_c 6.3360
_cell_angle_alpha 90.00
_cell_angle_beta 97.95
_cell_angle_gamma 90.00
_space_group_name_H-M_alt 'C 1 2/m 1'
_space_group_IT_number 12
loop_
_space_group_symop_operation_xyz
'x,y,z'
'-x,-y,-z'
'-x,y,-z'
'x,-y,z'
'x+1/2,y+1/2,z'
'-x+1/2,-y+1/2,-z'
'-x+1/2,y+1/2,-z'
'x+1/2,-y+1/2,z'
loop_
_atom_site_label
_atom_site_fract_x
_atom_site_fract_y
_atom_site_fract_z
Tb1 0.0000 0.1610 0.0000
Ag1 0.0000 0.3421 0.5000
Au1 0.0000 0.5000 0.0000
O1 0.1304 0.3353 0.8228
O2 0.1709 0.0000 0.8460

---

No. 3
# La2Tb2HoEr, optimized geometry, DFT PBE
# total moment: 0.0 μB/cell
# uncorrected energy: -4.643 eV per atom
data_La2Tb2HoEr
_cell_length_a 7.0751
_cell_length_b 5.6925
_cell_length_c 9.8730
_cell_angle_alpha 90.00
_cell_angle_beta 90.00
_cell_angle_gamma 90.00
_space_group_name_H-M_alt 'P m m a'
_space_group_IT_number 51
loop_
_space_group_symop_operation_xyz
'x,y,z'
'-x,-y,-z'
'-x+1/2,-y,z'
'x+1/2,y,-z'
'x+1/2,-y,-z'
'-x+1/2,y,z'
'-x,y,-z'
'x,-y,z'
loop_
_atom_site_label
_atom_site_fract_x
_atom_site_fract_y
_atom_site_fract_z
La1 0.0000 0.0000 0.0000
La2 0.2500 0.5000 0.1778
Tb1 0.2500 0.0000 0.3340
Tb2 0.2500 0.5000 0.8334
Ho1 0.2500 0.0000 0.6576
Er1 0.0000 0.5000 0.5000

---

No. 4
# UCo2C, optimized geometry, DFT PBE
# total moment: 0.0 μB/cell
# E above lowest polymorph: 263 meV/atom
# uncorrected energy: -8.329 eV per atom
data_UCo2C
_cell_length_a 2.9386
_cell_length_b 2.9386
_cell_length_c 20.2831
_cell_angle_alpha 90.00
_cell_angle_beta 90.00
_cell_angle_gamma 120.00
_space_group_name_H-M_alt 'R -3 m'
_space_group_IT_number 166
_space_group_name_Hall '-R 3 2"'
loop_
_atom_site_label
_atom_site_fract_x
_atom_site_fract_y
_atom_site_fract_z
U1 0.0000 0.0000 0.0000
Co1 0.0000 0.0000 0.1205
C1 0.0000 0.0000 0.5000

---

No. 5
# Ac2UGa3Pt12, optimized geometry, DFT PBE
# total moment: 0.0 μB/cell
# uncorrected energy: -6.128 eV per atom
data_Ac2UGa3Pt12
_cell_length_a 7.0101
_cell_length_b 7.0101
_cell_length_c 26.4736
_cell_angle_alpha 90.00
_cell_angle_beta 90.00
_cell_angle_gamma 120.00
_space_group_name_H-M_alt 'R -3 m'
_space_group_IT_number 166
_space_group_name_Hall '-R 3 2"'
loop_
_atom_site_label
_atom_site_fract_x
_atom_site_fract_y
_atom_site_fract_z
Ac1 0.0000 0.0000 0.1451
U1 0.0000 0.0000 0.5000
Ga1 0.0000 0.5000 0.0000
Pt1 0.0094 0.5047 0.1013
Pt2 0.0621 0.5310 0.6234

---

No. 6
# BaNaNiH2, optimized geometry, DFT PBE
# total moment: 0.0 μB/cell
# uncorrected energy: -2.684 eV per atom
data_BaNaNiH2
_cell_length_a 4.3560
_cell_length_b 4.3560
_cell_length_c 4.7330
_cell_angle_alpha 90.00
_cell_angle_beta 90.00
_cell_angle_gamma 90.00
_space_group_name_H-M_alt 'P 4/m m m'
_space_group_IT_number 123
_space_group_name_Hall '-P 4 2'
loop_
_atom_site_label
_atom_site_fract_x
_atom_site_fract_y
_atom_site_fract_z
Ba1 0.0000 0.0000 0.0000
Na1 0.5000 0.5000 0.0000
Ni1 0.5000 0.5000 0.5000
H1 0.0000 0.5000 0.5000

---

No. 7
# TbGdO, optimized geometry, DFT PBE
# total moment: 7.0 μB/cell
# ΔE_f (raw): -5.389 eV per formula unit
# uncorrected energy: -9.686 eV per atom
data_TbGdO
_cell_length_a 3.5365
_cell_length_b 3.5365
_cell_length_c 5.8978
_cell_angle_alpha 90.00
_cell_angle_beta 90.00
_cell_angle_gamma 120.00
_space_group_name_H-M_alt 'P 3 m 1'
_space_group_IT_number 156
loop_
_space_group_symop_operation_xyz
'x,y,z'
'-y,x-y,z'
'-x+y,-x,z'
'-y,-x,z'
'-x+y,y,z'
'x,x-y,z'
loop_
_atom_site_label
_atom_site_fract_x
_atom_site_fract_y
_atom_site_fract_z
Tb1 0.0000 0.0000 0.0000
Gd1 0.3333 0.6667 0.4697
O1 0.6667 0.3333 0.2298

---

No. 8
# Ac4Mg5Si2, optimized geometry, DFT PBE
# total moment: 0.0 μB/cell
# ΔE_f (raw): -2.346 eV per formula unit
# uncorrected energy: -3.418 eV per atom
data_Ac4Mg5Si2
_cell_length_a 7.9126
_cell_length_b 4.6702
_cell_length_c 9.2373
_cell_angle_alpha 90.00
_cell_angle_beta 90.23
_cell_angle_gamma 90.00
_space_group_name_H-M_alt 'P 1 2/m 1'
_space_group_IT_number 10
loop_
_space_group_symop_operation_xyz
'x,y,z'
'-x,-y,-z'
'-x,y,-z'
'x,-y,z'
loop_
_atom_site_label
_atom_site_fract_x
_atom_site_fract_y
_atom_site_fract_z
Ac1 0.1855 0.0000 0.3464
Ac2 0.2337 0.0000 0.9133
Mg1 0.1465 0.5000 0.6312
Mg2 0.4267 0.5000 0.1602
Mg3 0.5000 0.5000 0.5000
Si1 0.0614 0.5000 0.1200

---

No. 9
# CaLaMn2, optimized geometry, DFT PBE
# total moment: 21.3 μB/cell
# uncorrected energy: -5.688 eV per atom
data_CaLaMn2
_cell_length_a 3.5303
_cell_length_b 3.5303
_cell_length_c 28.9285
_cell_angle_alpha 90.00
_cell_angle_beta 90.00
_cell_angle_gamma 120.00
_space_group_name_H-M_alt 'R -3 m'
_space_group_IT_number 166
_space_group_name_Hall '-R 3 2"'
loop_
_atom_site_label
_atom_site_fract_x
_atom_site_fract_y
_atom_site_fract_z
Ca1 0.0000 0.0000 0.0000
La1 0.0000 0.0000 0.5000
Mn1 0.0000 0.0000 0.2482

---

No. 10
# SmLuCdTc, optimized geometry, DFT PBE
# total moment: 0.0 μB/cell
# uncorrected energy: -5.201 eV per atom
data_SmLuCdTc
_cell_length_a 7.1313
_cell_length_b 7.1313
_cell_length_c 7.1313
_cell_angle_alpha 90.00
_cell_angle_beta 90.00
_cell_angle_gamma 90.00
_space_group_name_H-M_alt 'F -4 3 m'
_space_group_IT_number 216
_space_group_name_Hall 'F -4 2 3'
loop_
_atom_site_label
_atom_site_fract_x
_atom_site_fract_y
_atom_site_fract_z
Sm1 0.0000 0.0000 0.0000
Lu1 0.0000 0.0000 0.5000
Cd1 0.2500 0.2500 0.2500
Tc1 0.2500 0.2500 0.7500

---

No. 11
# ZnCrCu2Br, optimized geometry, DFT PBE
# total moment: 4.8 μB/cell
# ΔE_f (raw): 4.069 eV per formula unit
# uncorrected energy: -3.339 eV per atom
data_ZnCrCu2Br
_cell_length_a 4.4797
_cell_length_b 4.4797
_cell_length_c 5.7109
_cell_angle_alpha 90.00
_cell_angle_beta 90.00
_cell_angle_gamma 90.00
_space_group_name_H-M_alt 'P 4/m m m'
_space_group_IT_number 123
_space_group_name_Hall '-P 4 2'
loop_
_atom_site_label
_atom_site_fract_x
_atom_site_fract_y
_atom_site_fract_z
Zn1 0.0000 0.0000 0.0000
Cr1 0.5000 0.5000 0.5000
Cu1 0.0000 0.5000 0.0000
Br1 0.0000 0.0000 0.5000

---

No. 12
# Zr2PbSe2, optimized geometry, DFT PBE
# total moment: 0.9 μB/cell
# E above lowest polymorph: 295 meV/atom
# ΔE_f (raw): -2.583 eV per formula unit
# uncorrected energy: -6.071 eV per atom
data_Zr2PbSe2
_cell_length_a 4.3743
_cell_length_b 4.3743
_cell_length_c 12.9286
_cell_angle_alpha 90.00
_cell_angle_beta 90.00
_cell_angle_gamma 90.00
_space_group_name_H-M_alt 'I 4/m m m'
_space_group_IT_number 139
_space_group_name_Hall '-I 4 2'
loop_
_atom_site_label
_atom_site_fract_x
_atom_site_fract_y
_atom_site_fract_z
Zr1 0.0000 0.0000 0.1262
Pb1 0.0000 0.0000 0.5000
Se1 0.0000 0.5000 0.2500